No. 1
DFT (PBE) results for a relaxed structure of TaInAg2.

```
TaInAg2
1.0
4.1084 0.0000 0.0000
0.0000 4.1084 0.0000
0.0000 0.0000 4.4803
Ta In Ag
1 1 2
direct
0.0000 0.0000 0.0000
0.5000 0.5000 0.0000
0.0000 0.5000 0.5000
0.5000 0.0000 0.5000
```

***

No. 2
DFT (PBE) results for a relaxed structure of TaInAg2.

```
TaInAg2
1.0
1.5107 0.8722 9.6854
-1.5107 0.8722 9.6854
0.0000 -1.7444 9.6854
Ta In Ag
1 1 2
direct
0.0000 0.0000 0.0000
0.2474 0.2474 0.2474
0.4965 0.4965 0.4965
0.7483 0.7483 0.7483
```

***

No. 3
DFT (PBE) results for a relaxed structure of Ta2TlInAg.

```
Ta2TlInAg
1.0
5.3669 0.0000 0.0000
0.0000 5.3669 0.0000
0.0000 0.0000 5.1750
Ta Tl In Ag
2 1 1 1
direct
0.0000 0.5000 0.0000
0.5000 0.0000 0.0000
0.0000 0.0000 0.0000
0.5000 0.5000 0.5000
0.0000 0.0000 0.5000
```

***

No. 4
DFT (PBE) results for a relaxed structure of Tb5In2Ag.

```
Tb5In2Ag
1.0
-3.4711 3.4711 4.5085
3.4711 -3.4711 4.5085
3.4711 3.4711 -4.5085
Tb In Ag
5 2 1
direct
0.0000 0.0000 0.0000
0.4998 0.4998 0.5003
0.4998 0.9995 0.0000
0.9995 0.4998 0.0000
0.9995 0.9995 0.4997
0.9997 0.4997 0.5000
0.4997 0.9997 0.5000
0.4984 0.4984 0.0000
```

***

Number 1: total energy -4.737 eV/atom, DOS at the Fermi energy 2.8 states/eV/cell. Number 2: total energy -4.855 eV/atom, DOS at the Fermi energy 2.9 states/eV/cell. Number 3: total energy -4.456 eV/atom, DOS at the Fermi energy 6.6 states/eV/cell. Number 4: total energy -4.195 eV/atom, DOS at the Fermi energy 10.6 states/eV/cell.